(1)
## Lu2CoGe6 (GGA-PBE)

Data for an optimized crystal structure of Lu2CoGe6. Values from VASP.

The structure in Quantum ESPRESSO input format:
```
&SYSTEM
  ibrav = 0, nat = 9, ntyp = 3
/
ATOMIC_SPECIES
Lu 174.97 Lu.upf
Co 58.93 Co.upf
Ge 72.64 Ge.upf
ATOMIC_POSITIONS angstrom
Lu 1.964 5.888 2.017
Lu 1.964 -8.219 2.017
Co 1.964 1.195 0.000
Ge 1.964 -0.003 2.017
Ge 1.964 -2.526 2.017
Ge 1.964 10.609 0.000
Ge 1.964 8.073 0.000
Ge 1.964 3.467 0.000
Ge 1.964 -5.550 0.000
CELL_PARAMETERS angstrom
1.964 -10.654 0.000
1.964 10.654 0.000
0.000 0.000 4.034
```

Symmetry ... No. 38
Formation energy from the elements ... -0.435 eV/atom
Raw total energy ... -47.8 eV/cell

***

(2)
## LuCo2Ge (GGA-PBE)

Data for an optimized crystal structure of LuCo2Ge. Values from VASP.

The structure in Quantum ESPRESSO input format:
```
&SYSTEM
  ibrav = 0, nat = 4, ntyp = 3
/
ATOMIC_SPECIES
Ge 72.64 Ge.upf
Lu 174.97 Lu.upf
Co 58.93 Co.upf
ATOMIC_POSITIONS angstrom
Ge 0.000 0.000 0.000
Lu -1.855 4.514 2.032
Co -0.927 2.257 1.016
Co -2.782 6.772 3.048
CELL_PARAMETERS angstrom
-1.872 3.777 -0.930
-2.863 1.720 2.734
1.026 3.532 2.260
```

Symmetry ... No. 225
Formation energy from the elements ... -0.337 eV/atom
Raw total energy ... -24.7 eV/cell

***

(3)
## LuCo4Ge2 (GGA-PBE)

Data for an optimized crystal structure of LuCo4Ge2. Values from VASP.

The structure in Quantum ESPRESSO input format:
```
&SYSTEM
  ibrav = 0, nat = 14, ntyp = 3
/
ATOMIC_SPECIES
Lu 174.97 Lu.upf
Co 58.93 Co.upf
Ge 72.64 Ge.upf
ATOMIC_POSITIONS angstrom
Lu 0.000 0.000 0.000
Lu 1.334 -4.334 -2.953
Co 2.300 -1.331 -3.399
Co -1.327 -4.842 -4.630
Co 0.393 -6.659 -4.935
Co -0.158 -3.159 -0.382
Co 2.274 -2.008 -0.972
Co 2.826 -5.509 -5.524
Co -1.590 -3.171 -2.456
Co 2.564 -3.002 -5.573
Ge 0.270 -1.714 -2.230
Ge 0.703 -4.459 -5.800
Ge 3.829 -3.154 -3.558
Ge -1.161 -5.513 -2.349
CELL_PARAMETERS angstrom
-4.006 -5.211 -2.926
4.979 -0.962 -5.103
1.694 -2.494 2.123
```

Symmetry ... No. 136
Formation energy from the elements ... -0.390 eV/atom
Raw total energy ... -89.8 eV/cell

***

(4)
## LuCo2Ge2 (GGA-PBE)

Data for an optimized crystal structure of LuCo2Ge2. Values from VASP.

The structure in Quantum ESPRESSO input format:
```
&SYSTEM
  ibrav = 0, nat = 5, ntyp = 3
/
ATOMIC_SPECIES
Ge 72.64 Ge.upf
Lu 174.97 Lu.upf
Co 58.93 Co.upf
ATOMIC_POSITIONS angstrom
Ge 1.964 1.954 1.257
Ge 0.007 0.007 3.769
Lu 3.923 3.902 -0.015
Co 1.962 -0.001 2.513
Co 0.009 1.962 2.513
CELL_PARAMETERS angstrom
3.915 -0.012 -0.008
0.009 3.915 -0.008
-1.952 -1.942 5.041
```

Symmetry ... No. 139
Formation energy from the elements ... -0.582 eV/atom
Raw total energy ... -30.9 eV/cell

***

Number 1: calculated density 8.31 Mg/m³, D(E_F) 4.109 states/eV per cell. Number 2: calculated density 10.67 Mg/m³, D(E_F) 1.833 states/eV per cell. Number 3: calculated density 9.67 Mg/m³, D(E_F) 12.489 states/eV per cell. Number 4: calculated density 9.43 Mg/m³, D(E_F) 3.022 states/eV per cell.